A relaxed ScNb2S4 crystal, computed with PBE-GGA.

## Properties
Symmetry: I4/mmm, No. 139

abc: 7.138 7.138 7.138
angles: 139.86 139.86 58.06
Element x y z (fractional)
Sc: 0.000 0.000 0.000
Nb: 0.389 0.389 0.000
Nb: 0.611 0.611 0.000
S: 0.000 0.500 0.500
S: 0.204 0.204 0.000
S: 0.500 0.000 0.500
S: 0.796 0.796 0.000

=====

A relaxed ScNb4S8 crystal, computed with PBE-GGA.

## Properties
Symmetry: R-3m, No. 166

abc: 7.396 7.396 7.396
angles: 54.81 54.81 54.81
Element x y z (fractional)
Sc: 0.000 0.000 0.000
Nb: 0.000 0.000 0.500
Nb: 0.000 0.500 0.000
Nb: 0.500 0.000 0.000
Nb: 0.500 0.500 0.500
S: 0.248 0.248 0.248
S: 0.253 0.253 0.742
S: 0.253 0.742 0.253
S: 0.258 0.747 0.747
S: 0.742 0.253 0.253
S: 0.747 0.258 0.747
S: 0.747 0.747 0.258
S: 0.752 0.752 0.752

=====

A relaxed ScNbS3 crystal, computed with PBE-GGA.

## Properties
Symmetry: Pm-3m, No. 221

abc: 4.799 4.799 4.799
angles: 90.00 90.00 90.00
Element x y z (fractional)
Sc: 0.000 0.000 0.000
Nb: 0.500 0.500 0.500
S: 0.000 0.000 0.500
S: 0.000 0.500 0.000
S: 0.500 0.000 0.000

=====

A relaxed ScNbS2 crystal, computed with PBE-GGA.

## Properties
Symmetry: Fm-3m, No. 225

abc: 4.457 4.457 4.457
angles: 60.00 60.00 60.00
Element x y z (fractional)
Sc: 0.000 0.000 0.000
Nb: 0.500 0.500 0.500
S: 0.250 0.250 0.250
S: 0.750 0.750 0.750

=====

A relaxed ScNbS2 crystal, computed with PBE-GGA.

## Properties
Symmetry: R-3m, No. 166

abc: 8.515 8.515 8.515
angles: 22.76 22.76 22.76
Element x y z (fractional)
Sc: 0.000 0.000 0.000
Nb: 0.500 0.500 0.500
S: 0.102 0.102 0.102
S: 0.898 0.898 0.898

=====

A relaxed ScNb3S crystal, computed with PBE-GGA.

## Properties
Symmetry: Pm-3m, No. 221

abc: 4.641 4.641 4.641
angles: 90.00 90.00 90.00
Element x y z (fractional)
Sc: 0.000 0.000 0.000
Nb: 0.000 0.500 0.500
Nb: 0.500 0.000 0.500
Nb: 0.500 0.500 0.000
S: 0.500 0.500 0.500

=====

A relaxed ScNbS3 crystal, computed with PBE-GGA.

## Properties
Symmetry: Pm-3m, No. 221

abc: 4.769 4.769 4.769
angles: 90.00 90.00 90.00
Element x y z (fractional)
Sc: 0.000 0.000 0.000
Nb: 0.500 0.500 0.500
S: 0.000 0.500 0.500
S: 0.500 0.000 0.500
S: 0.500 0.500 0.000

=====

A relaxed Sc2NbS crystal, computed with PBE-GGA.

## Properties
Symmetry: I-42d, No. 122

abc: 6.318 6.318 6.318
angles: 98.67 98.67 134.31
Element x y z (fractional)
Sc: 0.026 0.625 0.901
Sc: 0.375 0.276 0.401
Sc: 0.724 0.125 0.099
Sc: 0.875 0.974 0.599
Nb: 0.250 0.750 0.500
Nb: 0.500 0.500 0.000
S: 0.000 0.000 0.000
S: 0.750 0.250 0.500

=====

A relaxed Sc2NbS crystal, computed with PBE-GGA.

## Properties
Symmetry: R-3m, No. 166

abc: 8.936 8.936 8.936
angles: 21.27 21.27 21.27
Element x y z (fractional)
Sc: 0.104 0.104 0.104
Sc: 0.896 0.896 0.896
Nb: 0.000 0.000 0.000
S: 0.500 0.500 0.500

=====

A relaxed ScNbS2 crystal, computed with PBE-GGA.

## Properties
Symmetry: I-42d, No. 122

abc: 7.018 7.018 7.018
angles: 132.96 132.96 68.71
Element x y z (fractional)
Sc: 0.000 0.000 0.000
Sc: 0.750 0.250 0.500
Nb: 0.250 0.750 0.500
Nb: 0.500 0.500 0.000
S: 0.135 0.625 0.010
S: 0.375 0.385 0.510
S: 0.615 0.125 0.990
S: 0.875 0.865 0.490

=====

A relaxed ScNbS3 crystal, computed with PBE-GGA.

## Properties
Symmetry: P2_1/m, No. 11

abc: 6.582 3.546 8.825
angles: 90.00 104.22 90.00
Element x y z (fractional)
Sc: 0.226 0.250 0.478
Sc: 0.774 0.750 0.522
Nb: 0.383 0.250 0.871
Nb: 0.617 0.750 0.129
S: 0.002 0.250 0.678
S: 0.243 0.750 0.006
S: 0.461 0.750 0.665
S: 0.539 0.250 0.335
S: 0.757 0.250 0.994
S: 0.998 0.750 0.322

=====

A relaxed ScNb2S5 crystal, computed with PBE-GGA.

## Properties
Symmetry: Fmmm, No. 69

abc: 9.379 7.031 7.007
angles: 83.84 48.18 47.97
Element x y z (fractional)
Sc: 0.000 0.000 0.000
Nb: 0.314 0.314 0.686
Nb: 0.686 0.686 0.314
S: 0.053 0.282 0.718
S: 0.282 0.053 0.947
S: 0.500 0.500 0.500
S: 0.718 0.947 0.053
S: 0.947 0.718 0.282

=====

A relaxed ScNbSe2S crystal, computed with PBE-GGA.

## Properties
Symmetry: P4/mmm, No. 123

abc: 4.795 4.795 5.895
angles: 90.00 90.00 90.00
Element x y z (fractional)
Sc: 0.000 0.000 0.000
Nb: 0.000 0.000 0.500
Se: 0.000 0.500 0.500
Se: 0.500 0.000 0.500
S: 0.500 0.500 0.000

=====

A relaxed SrScNbS2 crystal, computed with PBE-GGA.

## Properties
Symmetry: P4/mmm, No. 123

abc: 4.970 4.970 5.004
angles: 90.00 90.00 90.00
Element x y z (fractional)
Sr: 0.000 0.000 0.000
Sc: 0.500 0.500 0.000
Nb: 0.500 0.500 0.500
S: 0.000 0.500 0.500
S: 0.500 0.000 0.500

=====

A relaxed ScTa2NbS crystal, computed with PBE-GGA.

## Properties
Symmetry: P4/mmm, No. 123

abc: 4.900 4.900 4.461
angles: 90.00 90.00 90.00
Element x y z (fractional)
Sc: 0.000 0.000 0.000
Ta: 0.000 0.500 0.000
Ta: 0.500 0.000 0.000
Nb: 0.500 0.500 0.500
S: 0.000 0.000 0.500

=====

A relaxed Sc2NbVS crystal, computed with PBE-GGA.

## Properties
Symmetry: P4/mmm, No. 123

abc: 4.945 4.945 4.272
angles: 90.00 90.00 90.00
Element x y z (fractional)
Sc: 0.000 0.500 0.000
Sc: 0.500 0.000 0.000
Nb: 0.000 0.000 0.500
V: 0.500 0.500 0.000
S: 0.500 0.500 0.500

=====

A relaxed ScNb2WS crystal, computed with PBE-GGA.

## Properties
Symmetry: P4/mmm, No. 123

abc: 4.627 4.627 4.492
angles: 90.00 90.00 90.00
Element x y z (fractional)
Sc: 0.000 0.000 0.000
Nb: 0.000 0.500 0.500
Nb: 0.500 0.000 0.500
W: 0.500 0.500 0.000
S: 0.500 0.500 0.500

=====

A relaxed YScNbS2 crystal, computed with PBE-GGA.

## Properties
Symmetry: P4/mmm, No. 123

abc: 5.076 5.076 5.253
angles: 90.00 90.00 90.00
Element x y z (fractional)
Y: 0.000 0.000 0.000
Sc: 0.500 0.500 0.500
Nb: 0.000 0.000 0.500
S: 0.000 0.500 0.000
S: 0.500 0.000 0.000

=====

A relaxed Nb2Se2S crystal, computed with PBE-GGA.

## Properties
Symmetry: P4/mbm, No. 127

abc: 7.201 7.201 3.485
angles: 90.00 90.00 90.00
Element x y z (fractional)
Nb: 0.146 0.354 0.000
Nb: 0.354 0.854 0.000
Nb: 0.646 0.146 0.000
Nb: 0.854 0.646 0.000
Se: 0.144 0.644 0.500
Se: 0.356 0.144 0.500
Se: 0.644 0.856 0.500
Se: 0.856 0.356 0.500
S: 0.000 0.000 0.000
S: 0.500 0.500 0.000

=====

A relaxed NbSeS crystal, computed with PBE-GGA.

## Properties
Symmetry: Fddd, No. 70

abc: 10.007 8.648 6.109
angles: 83.50 59.16 37.34
Element x y z (fractional)
Nb: 0.004 0.004 0.746
Nb: 0.254 0.254 0.996
Nb: 0.746 0.746 0.004
Nb: 0.996 0.996 0.254
Se: 0.022 0.728 0.022
Se: 0.272 0.978 0.272
Se: 0.728 0.022 0.728
Se: 0.978 0.272 0.978
S: 0.285 0.285 0.465
S: 0.465 0.465 0.285
S: 0.535 0.535 0.715
S: 0.715 0.715 0.535

=====

A relaxed Nb2SeS3 crystal, computed with PBE-GGA.

## Properties
Symmetry: Cmcm, No. 63

abc: 5.971 5.971 5.847
angles: 90.00 90.00 88.46
Element x y z (fractional)
Nb: 0.242 0.242 0.000
Nb: 0.242 0.242 0.500
Nb: 0.758 0.758 0.000
Nb: 0.758 0.758 0.500
Se: 0.409 0.591 0.750
Se: 0.591 0.409 0.250
S: 0.078 0.922 0.750
S: 0.083 0.579 0.250
S: 0.421 0.917 0.250
S: 0.579 0.083 0.750
S: 0.917 0.421 0.750
S: 0.922 0.078 0.250

=====

A relaxed NbSeS2 crystal, computed with PBE-GGA.

## Properties
Symmetry: R-3m, No. 166

abc: 8.417 8.417 8.417
angles: 23.00 23.00 23.00
Element x y z (fractional)
Nb: 0.000 0.000 0.000
Se: 0.500 0.500 0.500
S: 0.397 0.397 0.397
S: 0.603 0.603 0.603

=====

A relaxed NbSeS crystal, computed with PBE-GGA.

## Properties
Symmetry: Pnma, No. 62

abc: 13.588 3.436 6.248
angles: 90.00 90.00 90.00
Element x y z (fractional)
Nb: 0.216 0.250 0.127
Nb: 0.284 0.750 0.627
Nb: 0.716 0.250 0.373
Nb: 0.784 0.750 0.873
Se: 0.125 0.750 0.372
Se: 0.375 0.250 0.872
Se: 0.625 0.750 0.128
Se: 0.875 0.250 0.628
S: 0.146 0.750 0.883
S: 0.354 0.250 0.383
S: 0.646 0.750 0.617
S: 0.854 0.250 0.117

=====

A relaxed Nb5Se2S2 crystal, computed with PBE-GGA.

## Properties
Symmetry: C2/m, No. 12

abc: 7.109 7.109 9.645
angles: 131.58 131.58 27.63
Element x y z (fractional)
Nb: 0.000 0.000 0.000
Nb: 0.304 0.304 0.681
Nb: 0.374 0.374 0.076
Nb: 0.626 0.626 0.924
Nb: 0.696 0.696 0.319
Se: 0.057 0.057 0.350
Se: 0.943 0.943 0.650
S: 0.264 0.264 0.201
S: 0.736 0.736 0.799

=====

A relaxed NbSeS crystal, computed with PBE-GGA.

## Properties
Symmetry: P-3m1, No. 164

abc: 3.421 3.421 13.666
angles: 90.00 90.00 120.00
Element x y z (fractional)
Nb: 0.000 0.000 0.230
Nb: 0.000 0.000 0.770
Se: 0.333 0.667 0.357
Se: 0.667 0.333 0.643
S: 0.333 0.667 0.119
S: 0.667 0.333 0.881

=====

A relaxed Nb2SeS2 crystal, computed with PBE-GGA.

## Properties
Symmetry: I4_1md, No. 109

abc: 6.751 6.751 6.751
angles: 121.63 121.63 87.20
Element x y z (fractional)
Nb: 0.242 0.000 0.242
Nb: 0.750 0.008 0.258
Nb: 0.750 0.492 0.742
Nb: 0.758 0.000 0.758
Se: 0.309 0.809 0.500
Se: 0.559 0.559 0.000
S: 0.005 0.276 0.271
S: 0.005 0.733 0.729
S: 0.026 0.255 0.771
S: 0.483 0.255 0.229

=====

Record order is preserved below.
Calculated total energy: -6.56; -7.30; -5.94; -7.30; -7.03; -8.22; -6.37; -7.04; -7.12; -7.04; -7.20; -6.93; -5.44; -5.66; -7.30; -6.60; -8.59; -5.77; -6.66; -6.29; -6.55; -5.96; -6.71; -8.08; -6.84; -6.99 eV per atom
Record order is preserved below.
Spin magnetization: 4.0; 0.0; 2.0; 0.0; 0.0; 0.0; 0.8; 0.0; 0.5; 1.3; 0.0; 0.0; 0.0; 0.0; 0.0; 1.0; 0.0; 1.8; 0.0; 0.0; 0.0; 0.0; 0.0; 0.0; 0.0; 0.0 μB per formula unit
Record order is preserved below.
Formation energy (no corrections): -0.418; -1.171; -0.185; -1.134; -0.864; -0.086; -0.611; -0.320; -0.403; -0.881; -1.441; -1.041; 0.057; -0.393; 1.546; 0.597; 0.118; 0.452; -0.410; -0.398; -0.549; -0.512; -0.819; -0.791; -0.944; -0.610 eV/atom